w | The following is a DFT calculation (GGA-PBE) of crystalline TcNi3C at its relaxed geometry.

Values from the calculation:
Calculated density, g cm⁻³: 5.50

abc: 4.421 4.421 4.421
angles: 90.00 90.00 90.00
Space group Pm-3m (No. 221)
Symmetry-distinct sites (fractional):
Tc 0.000 0.000 0.000 (multiplicity 1)
Ni 0.000 0.000 0.500 (multiplicity 3)
C 0.500 0.500 0.500 (multiplicity 1)



x | The following is a DFT calculation (GGA-PBE) of crystalline TcNi3C at its relaxed geometry.

Values from the calculation:
Calculated density, g cm⁻³: 8.66

abc: 3.800 3.800 3.800
angles: 90.00 90.00 90.00
Space group Pm-3m (No. 221)
Symmetry-distinct sites (fractional):
Tc 0.000 0.000 0.000 (multiplicity 1)
Ni 0.000 0.500 0.500 (multiplicity 3)
C 0.500 0.500 0.500 (multiplicity 1)



In terms of stability, x leads; the second structure lies 205.8 kJ/mol of atoms higher.



w | The following is a DFT calculation (GGA-PBE) of crystalline TcNiC3 at its relaxed geometry.

Values from the calculation:
Calculated density, g cm⁻³: 6.45

abc: 3.675 3.675 3.675
angles: 90.00 90.00 90.00
Space group Pm-3m (No. 221)
Symmetry-distinct sites (fractional):
Tc 0.000 0.000 0.000 (multiplicity 1)
Ni 0.500 0.500 0.500 (multiplicity 1)
C 0.000 0.500 0.500 (multiplicity 3)



x | The following is a DFT calculation (GGA-PBE) of crystalline TcNiC3 at its relaxed geometry.

Values from the calculation:
Calculated density, g cm⁻³: 5.11

abc: 3.970 3.970 3.970
angles: 90.00 90.00 90.00
Space group Pm-3m (No. 221)
Symmetry-distinct sites (fractional):
Tc 0.000 0.000 0.000 (multiplicity 1)
Ni 0.500 0.500 0.500 (multiplicity 1)
C 0.000 0.000 0.500 (multiplicity 3)



In terms of stability, x leads; the second structure lies 22.1 kJ/mol of atoms higher.



w | The following is a DFT calculation (GGA-PBE) of crystalline TcNi2C2 at its relaxed geometry.

Values from the calculation:
Calculated density, g cm⁻³: 8.75

abc: 3.363 3.363 8.036
angles: 90.00 90.00 90.00
Space group I4/mmm (No. 139)
Symmetry-distinct sites (fractional):
Tc 0.000 0.000 0.000 (multiplicity 2)
Ni 0.000 0.500 0.250 (multiplicity 4)
C 0.000 0.000 0.408 (multiplicity 4)



x | The following is a DFT calculation (GGA-PBE) of crystalline TcNi2C2 at its relaxed geometry.

Values from the calculation:
Calculated density, g cm⁻³: 8.42

abc: 5.751 5.751 2.855
angles: 90.00 90.00 90.00
Space group P4/mbm (No. 127)
Symmetry-distinct sites (fractional):
Tc 0.000 0.000 0.000 (multiplicity 2)
Ni 0.149 0.351 0.500 (multiplicity 4)
C 0.169 0.669 0.000 (multiplicity 4)



In terms of stability, w leads; the second structure lies 4.1 kJ/mol of atoms higher.



w | The following is a DFT calculation (GGA-PBE) of crystalline NiTe3C at its relaxed geometry.

Values from the calculation:
Calculated density, g cm⁻³: 6.02

abc: 5.002 5.002 5.002
angles: 90.00 90.00 90.00
Space group Pm-3m (No. 221)
Symmetry-distinct sites (fractional):
Ni 0.000 0.000 0.000 (multiplicity 1)
Te 0.000 0.000 0.500 (multiplicity 3)
C 0.500 0.500 0.500 (multiplicity 1)



x | The following is a DFT calculation (GGA-PBE) of crystalline NiTe3C at its relaxed geometry.

Values from the calculation:
Calculated density, g cm⁻³: 7.20

abc: 4.712 4.712 4.712
angles: 90.00 90.00 90.00
Space group Pm-3m (No. 221)
Symmetry-distinct sites (fractional):
Ni 0.000 0.000 0.000 (multiplicity 1)
Te 0.000 0.500 0.500 (multiplicity 3)
C 0.500 0.500 0.500 (multiplicity 1)



In terms of stability, x leads; the second structure lies 31.9 kJ/mol of atoms higher.



w | The following is a DFT calculation (GGA-PBE) of crystalline NiTeC3 at its relaxed geometry.

Values from the calculation:
Calculated density, g cm⁻³: 5.26

abc: 4.126 4.126 4.126
angles: 90.00 90.00 90.00
Space group Pm-3m (No. 221)
Symmetry-distinct sites (fractional):
Ni 0.000 0.000 0.000 (multiplicity 1)
Te 0.500 0.500 0.500 (multiplicity 1)
C 0.000 0.500 0.500 (multiplicity 3)



x | The following is a DFT calculation (GGA-PBE) of crystalline NiTeC3 at its relaxed geometry.

Values from the calculation:
Calculated density, g cm⁻³: 6.24

abc: 3.897 3.897 3.897
angles: 90.00 90.00 90.00
Space group Pm-3m (No. 221)
Symmetry-distinct sites (fractional):
Ni 0.000 0.000 0.000 (multiplicity 1)
Te 0.500 0.500 0.500 (multiplicity 1)
C 0.000 0.000 0.500 (multiplicity 3)



In terms of stability, x leads; the second structure lies 80.9 kJ/mol of atoms higher.



w | The following is a DFT calculation (GGA-PBE) of crystalline Th2NiC at its relaxed geometry.

Values from the calculation:
Calculated density, g cm⁻³: 10.99

abc: 3.813 22.007 3.852
angles: 90.00 90.00 90.00
Space group Cmcm (No. 63)
Symmetry-distinct sites (fractional):
Th 0.000 0.077 0.250 (multiplicity 4)
Th 0.000 0.307 0.250 (multiplicity 4)
Ni 0.000 0.462 0.250 (multiplicity 4)
C 0.000 0.192 0.250 (multiplicity 4)



x | The following is a DFT calculation (GGA-PBE) of crystalline Th2NiC at its relaxed geometry.

Values from the calculation:
Calculated density, g cm⁻³: 10.10

abc: 3.5166 3.5166 24.6366
angles: 90.00 90.00 120.00
Space group R-3m (No. 166, hexagonal axes)
Symmetry-distinct sites (fractional):
Th 0.0000 0.0000 0.1048 (multiplicity 6)
Ni 0.0000 0.0000 0.0000 (multiplicity 3)
C 0.0000 0.0000 0.5000 (multiplicity 3)



In terms of stability, w leads; the second structure lies 55.2 kJ/mol of atoms higher.



w | The following is a DFT calculation (GGA-PBE) of crystalline TiNiC3 at its relaxed geometry.

Values from the calculation:
Calculated density, g cm⁻³: 4.65

abc: 3.707 3.707 3.707
angles: 90.00 90.00 90.00
Space group Pm-3m (No. 221)
Symmetry-distinct sites (fractional):
Ti 0.000 0.000 0.000 (multiplicity 1)
Ni 0.500 0.500 0.500 (multiplicity 1)
C 0.000 0.500 0.500 (multiplicity 3)



x | The following is a DFT calculation (GGA-PBE) of crystalline TiNiC3 at its relaxed geometry.

Values from the calculation:
Calculated density, g cm⁻³: 3.77

abc: 3.975 3.975 3.975
angles: 90.00 90.00 90.00
Space group Pm-3m (No. 221)
Symmetry-distinct sites (fractional):
Ti 0.000 0.000 0.000 (multiplicity 1)
Ni 0.500 0.500 0.500 (multiplicity 1)
C 0.000 0.000 0.500 (multiplicity 3)



In terms of stability, w leads; the second structure lies 41.8 kJ/mol of atoms higher.



w | The following is a DFT calculation (GGA-PBE) of crystalline TiNiC2 at its relaxed geometry.

Values from the calculation:
Calculated density, g cm⁻³: 4.71

abc: 4.365 4.365 9.672
angles: 90.00 90.00 90.00
Space group I-42d (No. 122)
Symmetry-distinct sites (fractional):
Ti 0.000 0.000 0.000 (multiplicity 4)
Ni 0.000 0.000 0.500 (multiplicity 4)
C 0.213 0.250 0.625 (multiplicity 8)



x | The following is a DFT calculation (GGA-PBE) of crystalline TiNiC2 at its relaxed geometry.

Values from the calculation:
Calculated density, g cm⁻³: 6.05

abc: 5.234 5.234 5.234
angles: 90.00 90.00 90.00
Space group Fm-3m (No. 225)
Symmetry-distinct sites (fractional):
Ti 0.000 0.000 0.000 (multiplicity 4)
Ni 0.000 0.000 0.500 (multiplicity 4)
C 0.250 0.250 0.250 (multiplicity 8)



In terms of stability, w leads; the second structure lies 23.0 kJ/mol of atoms higher.



w | The following is a DFT calculation (GGA-PBE) of crystalline Tl2NiC at its relaxed geometry.

Values from the calculation:
Calculated density, g cm⁻³: 11.55

abc: 6.508 6.508 6.508
angles: 90.00 90.00 90.00
Space group Fm-3m (No. 225)
Symmetry-distinct sites (fractional):
Tl 0.250 0.250 0.250 (multiplicity 8)
Ni 0.000 0.000 0.000 (multiplicity 4)
C 0.000 0.000 0.500 (multiplicity 4)



x | The following is a DFT calculation (GGA-PBE) of crystalline Tl2NiC at its relaxed geometry.

Values from the calculation:
Calculated density, g cm⁻³: 9.99

abc: 6.379 6.379 7.835
angles: 90.00 90.00 90.00
Space group I-42d (No. 122)
Symmetry-distinct sites (fractional):
Tl 0.211 0.250 0.125 (multiplicity 8)
Ni 0.000 0.000 0.500 (multiplicity 4)
C 0.000 0.000 0.000 (multiplicity 4)



In terms of stability, x leads; the second structure lies 13.7 kJ/mol of atoms higher.



w | The following is a DFT calculation (GGA-PBE) of crystalline TlNi2C at its relaxed geometry.

Values from the calculation:
Calculated density, g cm⁻³: 8.86

abc: 4.727 4.727 11.202
angles: 90.00 90.00 90.00
Space group I-42d (No. 122)
Symmetry-distinct sites (fractional):
Tl 0.000 0.000 0.000 (multiplicity 4)
Ni 0.048 0.250 0.625 (multiplicity 8)
C 0.000 0.000 0.500 (multiplicity 4)



x | The following is a DFT calculation (GGA-PBE) of crystalline TlNi2C at its relaxed geometry.

Values from the calculation:
Calculated density, g cm⁻³: 10.61

abc: 5.934 5.934 5.934
angles: 90.00 90.00 90.00
Space group Fm-3m (No. 225)
Symmetry-distinct sites (fractional):
Tl 0.000 0.000 0.000 (multiplicity 4)
Ni 0.250 0.250 0.250 (multiplicity 8)
C 0.000 0.000 0.500 (multiplicity 4)



In terms of stability, w leads; the second structure lies 86.2 kJ/mol of atoms higher.



w | The following is a DFT calculation (GGA-PBE) of crystalline Tl3NiC at its relaxed geometry.

Values from the calculation:
Calculated density, g cm⁻³: 8.71

abc: 5.070 5.070 5.070
angles: 90.00 90.00 90.00
Space group Pm-3m (No. 221)
Symmetry-distinct sites (fractional):
Tl 0.000 0.000 0.500 (multiplicity 3)
Ni 0.000 0.000 0.000 (multiplicity 1)
C 0.500 0.500 0.500 (multiplicity 1)



x | The following is a DFT calculation (GGA-PBE) of crystalline Tl3NiC at its relaxed geometry.

Values from the calculation:
Calculated density, g cm⁻³: 9.94

abc: 4.852 4.852 4.852
angles: 90.00 90.00 90.00
Space group Pm-3m (No. 221)
Symmetry-distinct sites (fractional):
Tl 0.000 0.000 0.500 (multiplicity 3)
Ni 0.500 0.500 0.500 (multiplicity 1)
C 0.000 0.000 0.000 (multiplicity 1)



In terms of stability, w leads; the second structure lies 4.2 kJ/mol of atoms higher.



w | The following is a DFT calculation (GGA-PBE) of crystalline TmNiC at its relaxed geometry.

Values from the calculation:
Calculated density, g cm⁻³: 9.22

abc: 3.579 3.579 13.478
angles: 90.00 90.00 90.00
Space group I4/mmm (No. 139)
Symmetry-distinct sites (fractional):
Tm 0.000 0.000 0.114 (multiplicity 4)
Ni 0.000 0.000 0.308 (multiplicity 4)
C 0.000 0.000 0.450 (multiplicity 4)



x | The following is a DFT calculation (GGA-PBE) of crystalline TmNiC at its relaxed geometry.

Values from the calculation:
Calculated density, g cm⁻³: 9.13

abc: 4.512 11.534 3.349
angles: 90.00 90.00 90.00
Space group Cmmm (No. 65)
Symmetry-distinct sites (fractional):
Tm 0.000 0.152 0.000 (multiplicity 4)
Ni 0.000 0.395 0.500 (multiplicity 4)
C 0.153 0.000 0.500 (multiplicity 4)



In terms of stability, x leads; the second structure lies 13.8 kJ/mol of atoms higher.



w | The following is a DFT calculation (GGA-PBE) of crystalline V4Ni2C at its relaxed geometry.

Values from the calculation:
Calculated density, g cm⁻³: 6.80

abc: 10.918 10.918 10.918
angles: 90.00 90.00 90.00
Space group Fd-3m (No. 227, origin choice 2)
Symmetry-distinct sites (fractional):
V 0.000 0.000 0.000 (multiplicity 16)
V 0.057 0.375 0.875 (multiplicity 48)
Ni 0.043 0.043 0.207 (multiplicity 32)
C 0.000 0.000 0.500 (multiplicity 16)



x | The following is a DFT calculation (GGA-PBE) of crystalline V4Ni2C at its relaxed geometry.

Values from the calculation:
Calculated density, g cm⁻³: 6.22

abc: 3.896 3.896 11.711
angles: 90.00 90.00 90.00
Space group I4/mmm (No. 139)
Symmetry-distinct sites (fractional):
V 0.000 0.000 0.174 (multiplicity 4)
V 0.000 0.500 0.000 (multiplicity 4)
Ni 0.000 0.000 0.367 (multiplicity 4)
C 0.000 0.000 0.000 (multiplicity 2)



In terms of stability, w leads; the second structure lies 34.7 kJ/mol of atoms higher.